Material: TlMoRh2
Method: DFT, meta-GGA SCAN
State: single point on PBEsol structure

a = 2.859 Å, b = 4.803 Å, c = 4.865 Å
α = 100.01°, β = 107.09°, γ = 90.00°
Atoms (fractional coordinates):
Tl 0.498 0.476 0.996
Rh 0.745 0.258 0.491
Mo 0.259 0.796 0.517
Rh 0.998 0.971 0.996

The formation energy comes out at 0.197 eV per atom. As for the space group: Cm. The value obtained for the total energy is -43.499 eV per atom. Its excess energy over the best structure of this formula in the dataset is 122 meV/atom.

Material: Lu2InCu2
Method: DFT, meta-GGA SCAN
State: single point on PBEsol structure

a = 3.622 Å, b = 7.262 Å, c = 7.262 Å
α = 90.00°, β = 90.00°, γ = 90.00°
Atoms (fractional coordinates):
Lu 0.500 0.671 0.829
Lu 0.500 0.329 0.171
In 0.000 0.000 0.000
Lu 0.500 0.829 0.329
Cu 0.000 0.878 0.622
Lu 0.500 0.171 0.671
Cu 0.000 0.378 0.878
Cu 0.000 0.122 0.378
Cu 0.000 0.622 0.122
In 0.000 0.500 0.500

The formation energy comes out at -0.502 eV per atom. As for the space group: P4/mbm. The value obtained for the total energy is -35.396 eV per atom.